[1]
The following is a meta-GGA SCAN calculation of RbLaMg3 at its PBEsol-relaxed geometry, from Alexandria.

Its spin magnetization is 0.00 μB/cell. The formation energy is 91.1 kJ per mole of atoms.

The space group is Pm-3m (No. 221) and the conventional cell measures 5.655, 5.655 and 5.655 Å, with angles of 90.00, 90.00 and 90.00 degrees. The distinct sites, in fractional coordinates, are Rb at (0.000, 0.000, 0.000), La at (0.500, 0.500, 0.500) and Mg at (0.000, 0.000, 0.500).

[2]
The following is a meta-GGA SCAN calculation of MnBe2In at its PBEsol-relaxed geometry, from Alexandria.

Its spin magnetization is 2.64 μB/cell. The formation energy is 15.8 kJ per mole of atoms.

The space group is P4mm (No. 99) and the conventional cell measures 2.831, 2.831 and 6.128 Å, with angles of 90.00, 90.00 and 90.00 degrees. The distinct sites, in fractional coordinates, are Mn at (0.000, 0.000, 0.000), Be at (0.000, 0.000, 0.376), Be at (0.500, 0.500, 0.206) and In at (0.500, 0.500, 0.684).

[3]
The following is a meta-GGA SCAN calculation of Li4AgRu at its PBEsol-relaxed geometry, from Alexandria.

Its spin magnetization is 1.28 μB/cell. The formation energy is 27.6 kJ per mole of atoms.

The space group is F-43m (No. 216) and the conventional cell measures 6.786, 6.786 and 6.786 Å, with angles of 90.00, 90.00 and 90.00 degrees. The distinct sites, in fractional coordinates, are Li at (0.124, 0.124, 0.376), Ag at (0.000, 0.000, 0.000) and Ru at (0.250, 0.250, 0.750).

[4]
The following is a meta-GGA SCAN calculation of Co5As at its PBEsol-relaxed geometry, from Alexandria.

Its spin magnetization is 9.17 μB/cell. The formation energy is 39.8 kJ per mole of atoms.

The space group is P6/mmm (No. 191) and the conventional cell measures 4.5117, 4.5117 and 4.1445 Å, with angles of 90.00, 90.00 and 120.00 degrees. The distinct sites, in fractional coordinates, are Co at (0.0000, 0.5000, 0.0000), Co at (0.3333, 0.6667, 0.5000) and As at (0.0000, 0.0000, 0.5000).

[5]
The following is a meta-GGA SCAN calculation of CaPCl2 at its PBEsol-relaxed geometry, from Alexandria.

Its spin magnetization is 12.00 μB/cell. For the formation energy (no corrections), the calculation gives -15.96 kcal/mol of atoms. The value obtained for the energy above the lowest structure with this stoichiometry is 0.348 eV per atom.

The space group is F-43m (No. 216) and the conventional cell measures 7.066, 7.066 and 7.066 Å, with angles of 90.00, 90.00 and 90.00 degrees. The distinct sites, in fractional coordinates, are Ca at (0.000, 0.000, 0.000), P at (0.250, 0.250, 0.250), Cl at (0.000, 0.000, 0.500) and Cl at (0.250, 0.250, 0.750).

[6]
The following is a meta-GGA SCAN calculation of MnPdN2 at its PBEsol-relaxed geometry, from Alexandria.

Its spin magnetization is 15.05 μB/cell. For the formation energy (no corrections), the calculation gives 19.56 kcal/mol of atoms.

The space group is Fm-3m (No. 225) and the conventional cell measures 5.312, 5.312 and 5.312 Å, with angles of 90.00, 90.00 and 90.00 degrees. The distinct sites, in fractional coordinates, are Mn at (0.000, 0.000, 0.000), Pd at (0.000, 0.000, 0.500) and N at (0.250, 0.250, 0.250).

[7]
The following is a meta-GGA SCAN calculation of BeCrRh2 at its PBEsol-relaxed geometry, from Alexandria.

Its spin magnetization is 0.91 μB/cell. The formation energy is -40.8 kJ per mole of atoms.

The space group is P4/mmm (No. 123) and the conventional cell measures 2.707, 2.707 and 6.195 Å, with angles of 90.00, 90.00 and 90.00 degrees. The distinct sites, in fractional coordinates, are Be at (0.000, 0.000, 0.000), Cr at (0.000, 0.000, 0.500) and Rh at (0.500, 0.500, 0.227).

[8]
The following is a meta-GGA SCAN calculation of Nb3PtF at its PBEsol-relaxed geometry, from Alexandria.

Its spin magnetization is 0.00 μB/cell. For the formation energy (no corrections), the calculation gives 21.19 kcal/mol of atoms.

The space group is Pm-3m (No. 221) and the conventional cell measures 4.882, 4.882 and 4.882 Å, with angles of 90.00, 90.00 and 90.00 degrees. The distinct sites, in fractional coordinates, are Nb at (0.000, 0.000, 0.500), Pt at (0.000, 0.000, 0.000) and F at (0.500, 0.500, 0.500).

[9]
The following is a meta-GGA SCAN calculation of ZrTiAu at its PBEsol-relaxed geometry, from Alexandria.

Its spin magnetization is 0.00 μB/cell. The formation energy is -47.6 kJ per mole of atoms.

The space group is Amm2 (No. 38) and the conventional cell measures 8.712, 5.427 and 9.299 Å, with angles of 90.00, 90.00 and 90.00 degrees. The distinct sites, in fractional coordinates, are Zr at (0.186, 0.000, 0.000), Zr at (0.312, 0.000, 0.662), Ti at (0.000, 0.000, 0.516), Ti at (0.000, 0.242, 0.750), Ti at (0.500, 0.000, 0.183), Au at (0.244, 0.000, 0.333) and Au at (0.500, 0.244, 0.938).

[10]
The following is a meta-GGA SCAN calculation of CoNiRh2 at its PBEsol-relaxed geometry, from Alexandria.

Its spin magnetization is 4.06 μB/cell. The value obtained for the energy above the lowest structure with this stoichiometry is 0.052 eV per atom. The formation energy is 5.9 kJ per mole of atoms.

The space group is Pmm2 (No. 25) and the conventional cell measures 2.605, 3.613 and 5.142 Å, with angles of 90.00, 90.00 and 90.00 degrees. The distinct sites, in fractional coordinates, are Co at (0.000, 0.000, 0.000), Ni at (0.500, 0.500, 0.235), Rh at (0.000, 0.000, 0.484) and Rh at (0.500, 0.500, 0.752).

[11]
The following is a meta-GGA SCAN calculation of CaMg2 at its PBEsol-relaxed geometry, from Alexandria.

Its spin magnetization is 0.16 μB/cell. The formation energy is 20.5 kJ per mole of atoms.

The space group is P4/mmm (No. 123) and the conventional cell measures 4.165, 4.165 and 5.603 Å, with angles of 90.00, 90.00 and 90.00 degrees. The distinct sites, in fractional coordinates, are Ca at (0.000, 0.000, 0.000) and Mg at (0.000, 0.500, 0.500).

[12]
The following is a meta-GGA SCAN calculation of ZnRuSe2 at its PBEsol-relaxed geometry, from Alexandria.

Its spin magnetization is 0.00 μB/cell. For the formation energy (no corrections), the calculation gives 2.82 kcal/mol of atoms.

The space group is Imm2 (No. 44) and the conventional cell measures 2.958, 4.046 and 11.638 Å, with angles of 90.00, 90.00 and 90.00 degrees. The distinct sites, in fractional coordinates, are Zn at (0.000, 0.000, 0.000), Ru at (0.000, 0.500, 0.711), Se at (0.000, 0.000, 0.381) and Se at (0.000, 0.500, 0.155).

[13]
The following is a meta-GGA SCAN calculation of BaSiIr at its PBEsol-relaxed geometry, from Alexandria.

Its spin magnetization is 0.00 μB/cell. For the formation energy (no corrections), the calculation gives 9.25 kcal/mol of atoms.

The space group is F-43m (No. 216) and the conventional cell measures 6.655, 6.655 and 6.655 Å, with angles of 90.00, 90.00 and 90.00 degrees. The distinct sites, in fractional coordinates, are Ba at (0.000, 0.000, 0.000), Si at (0.000, 0.000, 0.500) and Ir at (0.250, 0.250, 0.750).

[14]
The following is a meta-GGA SCAN calculation of CaCdB2 at its PBEsol-relaxed geometry, from Alexandria.

Its spin magnetization is 0.00 μB/cell. The formation energy is 68.8 kJ per mole of atoms.

The space group is I4_1/amd (No. 141, origin choice 2) and the conventional cell measures 4.164, 4.164 and 15.429 Å, with angles of 90.00, 90.00 and 90.00 degrees. The distinct sites, in fractional coordinates, are Ca at (0.000, 0.250, 0.375), Cd at (0.000, 0.250, 0.875) and B at (0.000, 0.000, 0.000).

[15]
The following is a meta-GGA SCAN calculation of TcAs2W at its PBEsol-relaxed geometry, from Alexandria.

Its spin magnetization is 0.00 μB/cell. The formation energy is 3.2 kJ per mole of atoms.

The space group is Cm (No. 8) and the conventional cell measures 8.746, 3.129 and 4.545 Å, with angles of 90.00, 107.00 and 90.00 degrees. The distinct sites, in fractional coordinates, are Tc at (0.000, 0.000, 0.000), As at (0.261, 0.000, 0.866), As at (0.498, 0.000, 0.516) and W at (0.256, 0.500, 0.381).

[16]
The following is a meta-GGA SCAN calculation of LaTcAs2F at its PBEsol-relaxed geometry, from Alexandria.

Its spin magnetization is 2.83 μB/cell. For the formation energy (no corrections), the calculation gives -3.62 kcal/mol of atoms.

The space group is P4/mmm (No. 123) and the conventional cell measures 4.655, 4.655 and 4.509 Å, with angles of 90.00, 90.00 and 90.00 degrees. The distinct sites, in fractional coordinates, are La at (0.000, 0.000, 0.000), Tc at (0.500, 0.500, 0.000), As at (0.000, 0.500, 0.500) and F at (0.000, 0.000, 0.500).

[17]
The following is a meta-GGA SCAN calculation of CdNi at its PBEsol-relaxed geometry, from Alexandria.

Its spin magnetization is 0.00 μB/cell. The formation energy is 14.3 kJ per mole of atoms.

The space group is Imma (No. 74) and the conventional cell measures 2.885, 4.444 and 9.103 Å, with angles of 90.00, 90.00 and 90.00 degrees. The distinct sites, in fractional coordinates, are Cd at (0.000, 0.250, 0.110) and Ni at (0.000, 0.250, 0.644).

[18]
The following is a meta-GGA SCAN calculation of CaSmAl4 at its PBEsol-relaxed geometry, from Alexandria.

Its spin magnetization is 0.42 μB/cell. The formation energy is -41.6 kJ per mole of atoms.

The space group is F-43m (No. 216) and the conventional cell measures 7.912, 7.912 and 7.912 Å, with angles of 90.00, 90.00 and 90.00 degrees. The distinct sites, in fractional coordinates, are Ca at (0.000, 0.000, 0.000), Sm at (0.250, 0.250, 0.250) and Al at (0.125, 0.125, 0.625).

[19]
The following is a meta-GGA SCAN calculation of Y3TaSi at its PBEsol-relaxed geometry, from Alexandria.

Its spin magnetization is 4.06 μB/cell. For the formation energy (no corrections), the calculation gives 12.94 kcal/mol of atoms. The value obtained for the energy above the lowest structure with this stoichiometry is 0.000 eV per atom.

The space group is Pm-3m (No. 221) and the conventional cell measures 5.261, 5.261 and 5.261 Å, with angles of 90.00, 90.00 and 90.00 degrees. The distinct sites, in fractional coordinates, are Y at (0.000, 0.000, 0.500), Ta at (0.500, 0.500, 0.500) and Si at (0.000, 0.000, 0.000).

[20]
The following is a meta-GGA SCAN calculation of KYBeO2 at its PBEsol-relaxed geometry, from Alexandria.

Its spin magnetization is 0.00 μB/cell. For the formation energy (no corrections), the calculation gives -3.88 kcal/mol of atoms.

The space group is P4/mmm (No. 123) and the conventional cell measures 3.915, 3.915 and 4.323 Å, with angles of 90.00, 90.00 and 90.00 degrees. The distinct sites, in fractional coordinates, are K at (0.000, 0.000, 0.000), Y at (0.500, 0.500, 0.000), Be at (0.500, 0.500, 0.500) and O at (0.000, 0.500, 0.500).

no.,energy (eV/cell)
1,-74.05
2,-59.70
3,-296.14
4,-104.24
5,-155.15
6,-264.88
7,-91.97
8,-168.53
9,-938.93
10,-100.78
11,-18.97
12,-176.02
13,-477.85
14,-208.33
15,-290.00
16,-122.87
17,-185.16
18,-350.79
19,-157.32
20,-53.83